Entry 1:
Crystalline KMnPb2 at its relaxed geometry. Source: Alexandria, functional PBEsol.

Structure (POSCAR):
```
KMnPb2
1.0
3.3395 0.0000 0.0000
0.0000 6.1917 0.0000
-1.6698 -3.0959 5.4317
Pb K Mn
2 1 1
Direct
0.2127 0.2127 0.4254
0.7873 0.7873 0.5746
0.0000 0.5000 0.0000
0.5000 0.0000 0.0000
```

## Properties
Energy above the most stable polymorph in this dataset in meV per atom: 198
Formation enthalpy at 0 K in eV/atom: 0.375
DOS at the Fermi energy in states/eV per cell: 2.65



Entry 2:
Crystalline KMnPb2 at its relaxed geometry. Source: Alexandria, functional PBEsol.

Structure (POSCAR):
```
KMnPb2
1.0
-3.3141 0.3778 -0.4254
0.2593 -1.2360 -3.1174
-1.3689 -8.3963 3.2152
Pb Mn K
2 1 1
Direct
0.0004 0.0000 0.6964
0.9996 0.0000 0.3036
0.5000 0.5000 0.5000
0.5000 0.5000 0.0000
```

## Properties
Energy above the most stable polymorph in this dataset in meV per atom: 0
Formation enthalpy at 0 K in eV/atom: 0.177
DOS at the Fermi energy in states/eV per cell: 1.43



Entry 3:
Crystalline KMnPb2 at its relaxed geometry. Source: Alexandria, functional PBEsol.

Structure (POSCAR):
```
KMnPb2
1.0
3.4205 0.0000 0.0000
0.0000 4.4042 0.0000
0.0000 0.0000 7.6533
K Mn Pb
1 1 2
Direct
0.0000 0.5000 0.4866
0.5000 0.5000 0.9695
0.5000 0.0000 0.1990
0.0000 0.0000 0.8449
```

## Properties
Energy above the most stable polymorph in this dataset in meV per atom: 82
Formation enthalpy at 0 K in eV/atom: 0.258
DOS at the Fermi energy in states/eV per cell: 2.02



no.,magnetization (μB per cell)
1,3.81
2,3.41
3,3.76